Density functional theory data (PBE) for an optimized crystal structure of ZrIr2Cl.

Output
ΔE_f (raw) = 115 meV/atom
energy above the most stable polymorph in this dataset = 425.3 meV/atom

Cell lengths 4.574, 4.574, 4.574 Å; angles 119.98, 119.98, 90.04 degrees
Fractional coordinates of all 4 atoms:
Ir1 0.000 0.000 0.000
Cl1 0.750 0.250 0.500
Ir2 0.250 0.750 0.500
Zr1 0.500 0.500 0.000

---

Density functional theory data (PBE) for an optimized crystal structure of MoAs.

Output
E_form = -0.0399 eV/atom

Cell lengths 3.102, 4.714, 4.365 Å; angles 90.00, 90.00, 90.00 degrees
Fractional coordinates of all 4 atoms:
As1 0.000 0.000 0.042
Mo1 0.000 0.500 0.303
As2 0.500 0.500 0.791
Mo2 0.500 0.000 0.531

---

Density functional theory data (PBE) for an optimized crystal structure of Li3PuU2Te6.

Output
ΔE_f (raw) = -855 meV/atom

Cell lengths 7.525, 7.525, 7.529 Å; angles 99.59, 99.59, 120.02 degrees
Site moments in Bohr magnetons follow the coordinates.
Fractional coordinates of all 12 atoms:
Pu1 0.000 0.000 0.000  5.40
Te1 0.424 0.086 0.259  -0.07
Te2 0.914 0.576 0.741  -0.07
Li1 0.833 0.167 0.500  -0.01
Li2 0.500 0.500 0.500  -0.01
Li3 0.167 0.833 0.500  -0.01
Te3 0.086 0.424 0.259  -0.07
U1 0.334 0.666 0.000  2.63
Te4 0.576 0.914 0.741  -0.07
Te5 0.750 0.750 0.261  -0.07
U2 0.666 0.334 0.000  2.63
Te6 0.250 0.250 0.739  -0.07

---

Density functional theory data (PBE) for an optimized crystal structure of KSc2Os.

Output
E_form = 0.8907 eV/atom
energy above the most stable polymorph in this dataset = 975.0 meV/atom

Cell lengths 4.964, 4.964, 4.964 Å; angles 60.00, 60.00, 60.00 degrees
Fractional coordinates of all 4 atoms:
Sc1 0.250 0.250 0.250
K1 0.500 0.500 0.500
Sc2 0.000 0.000 0.000
Os1 0.750 0.750 0.750

---

Density functional theory data (PBE) for an optimized crystal structure of In2CuOs.

Output
E_form = 0.4396 eV/atom

Cell lengths 3.188, 3.188, 7.329 Å; angles 90.00, 90.00, 90.00 degrees
Fractional coordinates of all 4 atoms:
In1 0.000 0.000 0.945
Os1 0.000 0.000 0.538
In2 0.500 0.500 0.305
Cu1 0.500 0.500 0.711

---

Density functional theory data (PBE) for an optimized crystal structure of TlGaSnGe.

Output
E_form = 0.2088 eV/atom

Cell lengths 5.187, 5.187, 5.187 Å; angles 60.00, 60.00, 60.00 degrees
Fractional coordinates of all 4 atoms:
Tl1 0.750 0.750 0.750
Sn1 0.250 0.250 0.250
Ge1 0.500 0.500 0.500
Ga1 0.000 0.000 0.000

---

Density functional theory data (PBE) for an optimized crystal structure of K3U2FeS6.

Output
ΔE_f (raw) = -1151 meV/atom

Cell lengths 6.831, 6.831, 7.733 Å; angles 98.46, 98.46, 120.00 degrees
Site moments in Bohr magnetons follow the coordinates.
Fractional coordinates of all 12 atoms:
U1 0.333 0.667 0.000  2.21
S1 0.608 0.934 0.802  -0.03
S2 0.392 0.066 0.198  -0.03
S3 0.740 0.740 0.198  -0.03
K1 0.834 0.166 0.500  0.00
S4 0.260 0.260 0.802  -0.03
S5 0.066 0.392 0.198  -0.03
K2 0.166 0.834 0.500  0.00
U2 0.667 0.333 0.000  2.21
S6 0.934 0.608 0.802  -0.03
Fe1 0.000 0.000 0.000  3.14
K3 0.500 0.500 0.500  0.00

---

Density functional theory data (PBE) for an optimized crystal structure of Sr2LaAu.

Output
E_form = -0.0633 eV/atom
energy above the most stable polymorph in this dataset = 289.4 meV/atom

Cell lengths 5.566, 5.566, 4.448 Å; angles 90.00, 90.00, 90.10 degrees
Fractional coordinates of all 4 atoms:
La1 0.000 0.500 0.500
Sr1 0.500 0.500 0.000
Au1 0.500 0.000 0.500
Sr2 0.000 0.000 0.000

---

Density functional theory data (PBE) for an optimized crystal structure of BaCdRe2.

Output
E_form = 0.4269 eV/atom

Cell lengths 4.374, 4.374, 6.968 Å; angles 71.66, 71.66, 60.03 degrees
Fractional coordinates of all 4 atoms:
Re1 0.023 0.023 0.932
Re2 0.696 0.696 0.913
Cd1 0.290 0.290 0.128
Ba1 0.491 0.491 0.527

---

Density functional theory data (PBE) for an optimized crystal structure of FeCoSe4.

Output
ΔE_f (raw) = 1145 meV/atom
energy above the most stable polymorph in this dataset = 1441.8 meV/atom

Cell lengths 5.553, 5.553, 5.553 Å; angles 60.00, 60.00, 60.00 degrees
Site moments in Bohr magnetons follow the coordinates.
Fractional coordinates of all 6 atoms:
Co1 0.750 0.750 0.750  2.01
Se1 0.375 0.375 0.375  0.09
Se2 0.875 0.375 0.375  0.09
Se3 0.375 0.875 0.375  0.09
Se4 0.375 0.375 0.875  0.09
Fe1 0.000 0.000 0.000  3.24

---

Density functional theory data (PBE) for an optimized crystal structure of TaBeB2.

Output
E_form = -0.5085 eV/atom

Cell lengths 3.183, 8.436, 10.616 Å; angles 90.00, 90.00, 90.00 degrees
Fractional coordinates of all 32 atoms:
Be1 0.250 0.053 0.556
B1 0.250 0.237 0.272
B2 0.750 0.717 0.391
B3 0.750 0.763 0.728
Ta1 0.750 0.467 0.696
B4 0.750 0.959 0.978
Ta2 0.250 0.533 0.304
Be2 0.250 0.664 0.818
B5 0.750 0.737 0.228
Ta3 0.250 0.760 0.061
B6 0.750 0.937 0.632
Be3 0.250 0.836 0.318
Be4 0.750 0.947 0.444
B7 0.750 0.783 0.891
Be5 0.750 0.164 0.682
Ta4 0.750 0.260 0.439
B8 0.750 0.541 0.478
B9 0.250 0.459 0.522
Be6 0.250 0.447 0.056
B10 0.250 0.041 0.022
Ta5 0.750 0.033 0.196
B11 0.250 0.437 0.868
Ta6 0.750 0.240 0.939
Ta7 0.250 0.967 0.804
B12 0.250 0.283 0.609
B13 0.250 0.063 0.368
B14 0.750 0.563 0.132
Ta8 0.250 0.740 0.561
Be7 0.750 0.336 0.182
B15 0.250 0.217 0.109
Be8 0.750 0.553 0.944
B16 0.250 0.263 0.772

---

Density functional theory data (PBE) for an optimized crystal structure of Cs2BaAsO4.

Output
ΔE_f (raw) = -1500 meV/atom

Cell lengths 6.546, 7.388, 13.907 Å; angles 84.02, 76.39, 63.70 degrees
Fractional coordinates of all 16 atoms:
Ba1 0.000 0.000 0.000
Ba2 0.750 0.500 0.500
O1 0.549 0.158 0.068
O2 0.384 0.842 0.068
Cs1 0.938 0.500 0.123
O3 0.293 0.158 0.932
O4 0.775 0.842 0.932
As1 0.500 0.000 0.000
O5 0.457 0.342 0.568
As2 0.250 0.500 0.500
Cs2 0.812 0.000 0.377
O6 0.366 0.658 0.432
Cs3 0.188 0.000 0.623
Cs4 0.562 0.500 0.877
O7 0.975 0.658 0.568
O8 0.201 0.342 0.432

---

Density functional theory data (PBE) for an optimized crystal structure of Tc2SbPt.

Output
ΔE_f (raw) = 241 meV/atom

Cell lengths 5.327, 5.327, 5.327 Å; angles 144.26, 130.52, 62.53 degrees
Fractional coordinates of all 4 atoms:
Sb1 0.250 0.750 0.500
Tc1 0.475 0.475 0.000
Pt1 0.750 0.250 0.500
Tc2 0.025 0.025 0.000

---

Density functional theory data (PBE) for an optimized crystal structure of Dy5HoBi4.

Output
E_form = -0.5517 eV/atom

Cell lengths 4.392, 7.730, 11.494 Å; angles 120.06, 101.02, 90.00 degrees
Site moments in Bohr magnetons follow the coordinates.
Fractional coordinates of all 10 atoms:
Dy1 0.500 0.500 0.000  0.02
Dy2 0.805 0.222 0.610  0.27
Bi1 0.939 0.659 0.878  0.00
Ho1 0.500 0.000 0.000  0.04
Bi2 0.635 0.944 0.269  0.01
Dy3 0.188 0.289 0.376  0.34
Bi3 0.365 0.056 0.731  0.01
Bi4 0.061 0.341 0.122  0.00
Dy4 0.812 0.711 0.624  0.34
Dy5 0.195 0.778 0.390  0.27

---

Density functional theory data (PBE) for an optimized crystal structure of LuThNb.

Output
E_form = 0.2303 eV/atom

Cell lengths 3.699, 3.699, 6.212 Å; angles 107.32, 107.32, 90.00 degrees
Fractional coordinates of all 3 atoms:
Lu1 0.015 0.015 0.030
Nb1 0.670 0.670 0.340
Th1 0.315 0.315 0.630

---

Density functional theory data (PBE) for an optimized crystal structure of NaTbMgCl6.

Output
ΔE_f (raw) = -2039 meV/atom

Cell lengths 6.701, 6.701, 12.511 Å; angles 90.00, 90.00, 120.00 degrees
Fractional coordinates of all 18 atoms:
Cl1 0.635 0.650 0.134
Cl2 0.365 0.015 0.634
Cl3 0.650 0.635 0.634
Cl4 0.015 0.650 0.366
Cl5 0.350 0.365 0.366
Tb1 0.333 0.667 0.750
Na1 0.000 0.000 0.500
Cl6 0.635 0.985 0.366
Cl7 0.650 0.015 0.866
Cl8 0.985 0.635 0.866
Cl9 0.015 0.365 0.134
Cl10 0.350 0.985 0.134
Cl11 0.985 0.350 0.634
Na2 0.000 0.000 0.000
Tb2 0.667 0.333 0.250
Cl12 0.365 0.350 0.866
Mg1 0.667 0.333 0.750
Mg2 0.333 0.667 0.250

---

Density functional theory data (PBE) for an optimized crystal structure of Ti5ZnGa8.

Output
E_form = -0.2041 eV/atom

Cell lengths 6.735, 6.735, 6.735 Å; angles 108.34, 111.77, 108.34 degrees
Fractional coordinates of all 14 atoms:
Ga1 0.617 0.427 0.814
Ga2 0.243 0.219 0.340
Zn1 0.250 0.500 0.750
Ga3 0.121 0.781 0.024
Ga4 0.810 0.196 0.383
Ti1 0.500 0.000 0.500
Ga5 0.387 0.573 0.190
Ti2 0.844 0.800 0.261
Ga6 0.660 0.904 0.879
Ti3 0.739 0.583 0.539
Ti4 0.956 0.417 0.156
Ga7 0.186 0.804 0.613
Ti5 0.461 0.200 0.044
Ga8 0.976 0.096 0.757

---

Density functional theory data (PBE) for an optimized crystal structure of ScFe4Sb.

Output
ΔE_f (raw) = -150 meV/atom

Cell lengths 4.933, 4.933, 4.933 Å; angles 60.00, 60.00, 60.00 degrees
Site moments in Bohr magnetons follow the coordinates.
Fractional coordinates of all 6 atoms:
Sc1 0.000 0.000 0.000  -0.36
Fe1 0.375 0.876 0.375  1.98
Sb1 0.750 0.750 0.750  -0.01
Fe2 0.876 0.375 0.375  1.98
Fe3 0.375 0.375 0.876  1.98
Fe4 0.375 0.375 0.375  1.98

---

Density functional theory data (PBE) for an optimized crystal structure of Tb5PmY2Tm.

Output
E_form = 0.1527 eV/atom

Cell lengths 5.634, 10.305, 10.579 Å; angles 90.00, 90.00, 105.87 degrees
Fractional coordinates of all 18 atoms:
Tb1 0.612 0.225 0.522
Tb2 0.388 0.775 0.022
Tb3 0.480 0.959 0.739
Y1 0.886 0.772 0.819
Tb4 0.282 0.564 0.312
Tb5 0.298 0.596 0.707
Y2 0.111 0.222 0.734
Tb6 0.718 0.436 0.812
Tb7 0.981 0.961 0.523
Tm1 0.201 0.401 0.011
Y3 0.889 0.778 0.234
Tb8 0.520 0.041 0.239
Tb9 0.702 0.404 0.207
Tb10 0.019 0.039 0.023
Pm1 0.585 0.170 0.956
Tm2 0.799 0.599 0.511
Pm2 0.415 0.830 0.456
Y4 0.114 0.228 0.319

---

Record order is preserved below.
Magnetic moment: 0.0, 0.0, 11.0, 0.0, 0.0, 0.0, 8.0, 0.0, 0.0, 5.8, 0.0, 0.0, 0.0, 2.0, 0.0, 0.0, 0.0, 7.4, 0.0 Bohr magnetons per cell